Record 1
Sb3S | GGA-PBE | optimized geometry

Properties
Symmetry: Pmm2, No. 25
ΔE_f (raw) in meV/atom: 85

Cell: 4.3920 6.1120 4.1864 Å, 90.00 90.00 90.00°
Closest atoms and distances in Å follow each position.
Fractional coordinates of all 4 atoms:
Sb 0.0000 0.0000 0.0000  6 Sb 3.02-3.07
Sb 0.0000 0.5000 0.0703  2 S 2.70
Sb 0.5000 0.0000 0.5039  4 Sb 3.02-3.05, 2 S 3.07
S 0.5000 0.5000 0.4469  2 Sb 2.70

Record 2
SbS | GGA-PBE | optimized geometry

Properties
Symmetry: P6_3/mmc, No. 194
ΔE_f (raw) in meV/atom: 253

Cell: 4.8075 4.8075 5.8412 Å, 90.00 90.00 120.00°
Closest atoms and distances in Å follow each position.
Fractional coordinates of all 4 atoms:
Sb 0.3333 0.6667 0.2500  5 S 2.78-2.92
Sb 0.6667 0.3333 0.7500  5 S 2.78-2.92
S 0.3333 0.6667 0.7500  5 Sb 2.78-2.92
S 0.6667 0.3333 0.2500  5 Sb 2.78-2.92

Record 3
SbS | GGA-PBE | optimized geometry

Properties
Symmetry: P4_2/mnm, No. 136
ΔE_f (raw) in meV/atom: 66

Cell: 5.8022 5.8022 5.8109 Å, 90.00 90.00 90.00°
Closest atoms and distances in Å follow each position.
Fractional coordinates of all 8 atoms:
Sb 0.2492 0.2492 0.0000  4 S 2.72-2.92
Sb 0.2508 0.7492 0.5000  4 S 2.72-2.92
Sb 0.7492 0.2508 0.5000  4 S 2.72-2.92
Sb 0.7508 0.7508 0.0000  4 S 2.72-2.92
S 0.2170 0.2170 0.5000  4 Sb 2.72-2.92
S 0.2830 0.7170 0.0000  4 Sb 2.72-2.92
S 0.7170 0.2830 0.0000  4 Sb 2.72-2.92
S 0.7830 0.7830 0.5000  4 Sb 2.72-2.92

Record 4
SbS | GGA-PBE | optimized geometry

Properties
Symmetry: Fm-3m, No. 225
ΔE_f (raw) in meV/atom: 84

Cell: 4.0788 4.0788 4.0788 Å, 60.00 60.00 60.00°
Closest atoms and distances in Å follow each position.
Fractional coordinates of all 2 atoms:
Sb 0.0000 0.0000 0.0000  6 S 2.88
S 0.5000 0.5000 0.5000  6 Sb 2.88

Record 5
Sb2S3 | GGA-PBE | optimized geometry

Properties
Symmetry: Pnma, No. 62
ΔE_f (raw) in meV/atom: -255

Cell: 12.1377 3.8680 11.2366 Å, 90.00 90.00 90.00°
Closest atoms and distances in Å follow each position.
Fractional coordinates of all 20 atoms:
Sb 0.0340 0.2500 0.1719  3 S 2.55-2.57
Sb 0.1409 0.7500 0.4667  3 S 2.48-2.69
Sb 0.3591 0.2500 0.9667  3 S 2.48-2.69
Sb 0.4660 0.7500 0.6719  3 S 2.55-2.57
Sb 0.5340 0.2500 0.3281  3 S 2.55-2.57
Sb 0.6409 0.7500 0.0333  3 S 2.48-2.69
Sb 0.8591 0.2500 0.5333  3 S 2.48-2.69
Sb 0.9660 0.7500 0.8281  3 S 2.55-2.57
S 0.0452 0.2500 0.6250  1 Sb 2.48
S 0.1242 0.7500 0.0571  2 Sb 2.57
S 0.1991 0.2500 0.3120  3 Sb 2.55-2.69
S 0.3009 0.7500 0.8120  3 Sb 2.55-2.69
S 0.3758 0.2500 0.5571  2 Sb 2.57
S 0.4548 0.7500 0.1250  1 Sb 2.48
S 0.5452 0.2500 0.8750  1 Sb 2.48
S 0.6242 0.7500 0.4429  2 Sb 2.57
S 0.6991 0.2500 0.1880  3 Sb 2.55-2.69
S 0.8009 0.7500 0.6880  3 Sb 2.55-2.69
S 0.8758 0.2500 0.9429  2 Sb 2.57
S 0.9548 0.7500 0.3750  1 Sb 2.48

Record 6
SbS | GGA-PBE | optimized geometry

Properties
Symmetry: Pmmn, No. 59
ΔE_f (raw) in meV/atom: -24

Cell: 5.0007 13.4543 5.0424 Å, 90.00 90.00 90.00°
Closest atoms and distances in Å follow each position.
Fractional coordinates of all 12 atoms:
Sb 0.2500 0.0392 0.1630  1 S 2.57
Sb 0.2500 0.4608 0.1630  1 S 2.57
Sb 0.2500 0.7500 0.1626  4 S 2.50-2.59
Sb 0.7500 0.2500 0.8374  4 S 2.50-2.59
Sb 0.7500 0.5392 0.8370  1 S 2.57
Sb 0.7500 0.9608 0.8370  1 S 2.57
S 0.2500 0.2500 0.9693  2 Sb 2.59
S 0.2500 0.6089 0.4845  2 Sb 2.50-2.57
S 0.2500 0.8911 0.4845  2 Sb 2.50-2.57
S 0.7500 0.1089 0.5155  2 Sb 2.50-2.57
S 0.7500 0.3911 0.5155  2 Sb 2.50-2.57
S 0.7500 0.7500 0.0307  2 Sb 2.59

Record 7
SbS | GGA-PBE | optimized geometry

Properties
Symmetry: I4/m, No. 87
ΔE_f (raw) in meV/atom: -13

Cell: 6.7552 6.7552 6.7552 Å, 99.28 99.28 132.65°
Closest atoms and distances in Å follow each position.
Fractional coordinates of all 8 atoms:
Sb 0.0665 0.7372 0.8037  3 S 2.65-2.74
Sb 0.2628 0.0665 0.3293  3 S 2.65-2.74
Sb 0.7372 0.9335 0.6707  3 S 2.65-2.74
Sb 0.9335 0.2628 0.1963  3 S 2.65-2.74
S 0.1985 0.4089 0.6075  3 Sb 2.65-2.74
S 0.4089 0.8015 0.2104  3 Sb 2.65-2.74
S 0.5911 0.1985 0.7896  3 Sb 2.65-2.74
S 0.8015 0.5911 0.3925  3 Sb 2.65-2.74

Record 8
SbS | GGA-PBE | optimized geometry

Properties
Symmetry: F-43m, No. 216
ΔE_f (raw) in meV/atom: 319

Cell: 4.5092 4.5092 4.5092 Å, 60.00 60.00 60.00°
Closest atoms and distances in Å follow each position.
Fractional coordinates of all 2 atoms:
Sb 0.0000 0.0000 0.0000  4 S 2.76
S 0.2500 0.2500 0.2500  4 Sb 2.76

Record 9
SbS8 | GGA-PBE | optimized geometry

Properties
Symmetry: C2/m, No. 12
ΔE_f (raw) in meV/atom: 246

Cell: 5.2579 5.2579 10.4713 Å, 92.36 92.36 71.09°
Closest atoms and distances in Å follow each position.
Fractional coordinates of all 9 atoms:
Sb 0.0000 0.0000 0.0000  4 S 2.71-2.88
S 0.0113 0.0113 0.7421  1 S 1.99
S 0.1794 0.1794 0.3754  2 S 1.99-2.13
S 0.3268 0.3268 0.0814  1 S 1.98
S 0.3836 0.3836 0.2674  2 S 1.98-2.13
S 0.6164 0.6164 0.7326  2 S 1.98-2.13
S 0.6732 0.6732 0.9186  1 S 1.98
S 0.8206 0.8206 0.6246  2 S 1.99-2.13
S 0.9887 0.9887 0.2579  1 S 1.99

Record 10
SbS | GGA-PBE | optimized geometry

Properties
Symmetry: P1, No. 1
ΔE_f (raw) in meV/atom: -53

Cell: 3.4873 3.7413 4.2546 Å, 89.97 66.67 89.73°
Closest atoms and distances in Å follow each position.
Fractional coordinates of all 2 atoms:
Sb 0.0000 0.0000 0.0000  2 S 2.52
S 0.7876 0.5007 0.4331  2 Sb 2.52

Record 11
SbS | GGA-PBE | optimized geometry

Properties
Symmetry: P2_1/m, No. 11
ΔE_f (raw) in meV/atom: -12

Cell: 3.4823 5.3764 5.8014 Å, 90.00 105.77 90.00°
Closest atoms and distances in Å follow each position.
Fractional coordinates of all 4 atoms:
Sb 0.1705 0.2500 0.2411  3 S 2.47-2.75
Sb 0.8295 0.7500 0.7589  3 S 2.47-2.75
S 0.0061 0.7500 0.2014  3 Sb 2.47-2.75
S 0.9939 0.2500 0.7986  3 Sb 2.47-2.75

Record 12
Sc4SbS | GGA-PBE | optimized geometry

Properties
Symmetry: P2_1/m, No. 11
ΔE_f (raw) in meV/atom: -652

Cell: 5.8198 8.6740 6.4479 Å, 90.00 102.88 90.00°
Closest atoms and distances in Å follow each position.
Fractional coordinates of all 12 atoms:
Sc 0.0890 0.2500 0.2690  1 S 2.45
Sc 0.2231 0.0480 0.9088  1 S 2.48
Sc 0.2231 0.4520 0.9088  1 S 2.48
Sc 0.2688 0.7500 0.2490  1 S 2.60
Sc 0.7312 0.2500 0.7510  1 S 2.60
Sc 0.7769 0.5480 0.0912  1 S 2.48
Sc 0.7769 0.9520 0.0912  1 S 2.48
Sc 0.9110 0.7500 0.7310  1 S 2.45
Sb 0.4207 0.7500 0.7939  7 Sc 2.90-3.25
Sb 0.5793 0.2500 0.2061  7 Sc 2.90-3.25
S 0.2734 0.2500 0.6496  4 Sc 2.45-2.60
S 0.7266 0.7500 0.3504  4 Sc 2.45-2.60